Record 1
PmZrIr: relaxed, PBE-GGA.

Cell and atoms, written as POSCAR:
```
PmZrIr
1.0
-3.0874 -2.6763 -2.3825
-2.1237 -1.1663 4.0621
-4.1198 5.3122 -0.6286
Pm Zr Ir
2 2 2
Cartesian
-4.6654 0.7348 0.5255
-2.0599 2.6561 -0.3143
-2.6055 -1.9213 0.8398
0.0000 0.0000 0.0000
-1.9496 0.5615 1.8956
-4.7757 2.8293 -1.6844
```

distance to the lowest polymorph of the same formula	0.153	eV per atom
space group	No. 129

Record 2
PmZrIr: relaxed, PBE-GGA.

Cell and atoms, written as POSCAR:
```
PmZrIr
1.0
-1.6233 3.4749 -2.7996
-0.0380 -0.5712 -4.7138
-4.1235 -0.5303 -2.2941
Ir Zr Pm
1 1 1
Cartesian
-1.4462 0.5933 -2.4519
0.0000 0.0000 0.0000
-2.8925 1.1867 -4.9038
```

distance to the lowest polymorph of the same formula	0.254	eV per atom
space group	No. 216

Record 3
PmZr3Ir2: relaxed, PBE-GGA.

Cell and atoms, written as POSCAR:
```
PmZr3Ir2
1.0
-2.5234 -2.4454 3.1820
-3.9385 -1.0758 -7.4813
6.3476 -4.6272 1.4778
Zr Ir Pm
6 4 2
Cartesian
0.5444 -4.0963 -2.7163
-1.9499 -6.1703 -2.7570
2.0724 -4.8412 1.4542
1.8355 -1.9781 -0.0645
-0.6588 -4.0520 -0.1052
-2.1868 -3.3072 -4.2757
2.6743 -4.2893 -1.1755
-0.3537 -2.1219 1.6200
-2.7887 -3.8591 -1.6460
0.2394 -6.0265 -4.4415
-1.2085 -1.0017 -1.7282
1.0941 -7.1467 -1.0933
```

space group	No. 12

Record 4
PmZrIr: relaxed, PBE-GGA.

Cell and atoms, written as POSCAR:
```
PmZrIr
1.0
4.6555 0.0000 0.0000
0.0000 4.6555 0.0000
0.0000 0.0000 6.7536
Pm Zr Ir
2 2 2
Cartesian
0.0000 2.3277 5.8723
2.3277 0.0000 0.8813
2.3277 2.3277 3.3768
0.0000 0.0000 3.3768
2.3277 0.0000 4.7676
0.0000 2.3277 1.9860
```

distance to the lowest polymorph of the same formula	0.000	eV per atom
space group	No. 129

Computed D(E_F), in the same sequence as the records: 8.817; 3.598; 9.422; 6.305 states/eV/cell.
Computed electronic total energy, in the same sequence as the records: -7.883; -7.783; -8.567; -8.036 eV per atom.
Computed formation energy from the elements, in the same sequence as the records: -144; -115; -317; -188 kJ/mol of formula units.